Below is a geometry-optimized Pu3B2TeRh9 structure, with properties calculated at the PBE level.

extended XYZ file:
```
15
Lattice="-4.5234 0.0232 3.6902 4.6966 -3.2674 1.1599 3.6342 6.7900 4.4121" Properties=species:S:1:pos:R:3 pbc="T T T"
Rh 4.1753 -0.9023 2.7606
Rh 1.8605 -0.8904 4.6491
Rh -0.3679 4.4480 6.5017
Rh 1.7718 0.7699 2.1670
Rh -2.2617 0.0116 1.8451
Rh 2.3483 -1.6337 0.5799
Rh 2.0356 2.7758 7.0952
Rh 0.0866 -1.6221 2.4251
Rh 1.9470 4.4362 4.6131
Pu -0.2922 1.0896 4.2525
Pu 0.0000 0.0000 0.0000
Pu 4.0996 2.4562 5.0098
Te 1.8171 3.3950 2.2060
B 1.6616 4.7399 6.6245
B 2.1458 -1.1942 2.6378
```

Output
V ... 17.5 A^3/atom
Raw formation energy ... -416 meV per atom
D(E_F) ... 44.08 states/eV per cell


Below is a geometry-optimized PrGd3Cl structure, with properties calculated at the PBE level.

extended XYZ file:
```
5
Lattice="5.3889 0.0000 0.0000 0.0000 5.3889 0.0000 0.0000 0.0000 5.3889" Properties=species:S:1:pos:R:3 pbc="T T T"
Gd 2.6945 0.0000 0.0000
Gd 0.0000 0.0000 2.6945
Gd 0.0000 2.6945 0.0000
Pr 2.6945 2.6945 2.6945
Cl 0.0000 0.0000 0.0000
```

Output
V ... 31.3 A^3/atom
Raw formation energy ... -469 meV per atom
D(E_F) ... 6.19 states/eV per cell


Below is a geometry-optimized MgTcS2N structure, with properties calculated at the PBE level.

extended XYZ file:
```
5
Lattice="4.8438 0.0000 0.0000 0.0000 4.8438 0.0000 0.0000 0.0000 3.7065" Properties=species:S:1:pos:R:3 pbc="T T T"
N 0.0000 0.0000 1.8532
Tc 0.0000 0.0000 0.0000
S 0.0000 2.4219 0.0000
S 2.4219 0.0000 0.0000
Mg 2.4219 2.4219 1.8532
```

Output
V ... 17.4 A^3/atom
Raw formation energy ... -79 meV per atom
D(E_F) ... 3.16 states/eV per cell
Energy relative to the lowest polymorph listed for this composition ... 0.00 eV per formula unit


Below is a geometry-optimized Pu2ZnPd3 structure, with properties calculated at the PBE level.

extended XYZ file:
```
6
Lattice="4.4796 0.0000 0.0000 0.0000 5.4610 0.0000 -2.2398 -2.7305 5.1895" Properties=species:S:1:pos:R:3 pbc="T T T"
Pd 0.0000 0.0000 0.0000
Pd 2.2398 2.7305 1.3563
Pd 0.0000 0.0000 3.8332
Pu 0.0000 2.7305 3.3002
Pu 2.2398 0.0000 1.8893
Zn 0.0000 2.7305 0.0000
```

Output
V ... 21.2 A^3/atom
Energy relative to the elements ... -283 meV/atom
D(E_F) ... 23.50 states/eV per cell
Energy relative to the lowest polymorph listed for this composition ... 1.65 eV per formula unit


Below is a geometry-optimized SbP2WN structure, with properties calculated at the PBE level.

extended XYZ file:
```
5
Lattice="4.5628 0.0000 0.0000 0.0000 5.5045 0.0000 0.0000 0.0000 4.5628" Properties=species:S:1:pos:R:3 pbc="T T T"
Sb 0.0000 2.7522 0.0000
N 2.2814 2.7522 2.2814
W 0.0000 0.0000 0.0000
P 0.0000 0.0000 2.2814
P 2.2814 0.0000 0.0000
```

Output
V ... 22.9 A^3/atom
Raw formation energy ... 1359 meV per atom
D(E_F) ... 3.60 states/eV per cell


Below is a geometry-optimized MgGa2Pt2 structure, with properties calculated at the PBE level.

extended XYZ file:
```
10
Lattice="-4.0516 4.5271 4.2980 -3.7832 -5.8565 2.6023 1.9581 -0.3030 2.1649" Properties=species:S:1:pos:R:3 pbc="T T T"
Mg -3.9174 -0.6647 3.4501
Mg 0.0000 0.0000 0.0000
Ga -1.9256 -1.6145 1.5157
Ga -3.0171 2.0953 3.0220
Ga -4.8178 -3.4247 3.8782
Ga -5.9093 0.2851 5.3846
Pt -1.0002 0.3120 2.9375
Pt -4.8765 -1.9443 6.1277
Pt -2.2708 -3.3102 3.5798
Pt -3.6059 1.6778 5.4854
```

Output
V ... 16.3 A^3/atom
Energy relative to the elements ... -598 meV/atom
D(E_F) ... 5.34 states/eV per cell
Energy relative to the lowest polymorph listed for this composition ... 0.49 eV per formula unit


Below is a geometry-optimized CuSiCl2 structure, with properties calculated at the PBE level.

extended XYZ file:
```
4
Lattice="6.1274 -0.1577 -0.7493 5.2533 3.1579 -0.7493 1.9500 0.5141 5.0158" Properties=species:S:1:pos:R:3 pbc="T T T"
Cl 9.7885 2.5805 2.8598
Cl 11.2320 2.9611 -0.8956
Cu 8.5041 2.2419 1.1081
Si 1.8519 0.4882 0.7048
```

Output
V ... 26.6 A^3/atom
Raw formation energy ... -317 meV per atom
D(E_F) ... 0.71 states/eV per cell
Energy relative to the lowest polymorph listed for this composition ... 0.00 eV per formula unit


Below is a geometry-optimized Ho3Tm3In structure, with properties calculated at the PBE level.

extended XYZ file:
```
28
Lattice="5.1433 0.0000 0.0000 0.0000 13.1176 0.0000 0.0000 0.0000 12.6026" Properties=species:S:1:pos:R:3 pbc="T T T"
In 3.8574 12.4343 2.3110
In 3.8574 5.8755 3.9903
In 1.2858 7.2421 8.6124
In 1.2858 0.6833 10.2916
Ho 1.2858 7.7184 2.3788
Ho 3.8574 11.9581 8.6802
Ho 3.8574 2.2565 9.2666
Ho 1.2858 4.0852 7.9759
Ho 1.2858 1.1596 3.9225
Ho 3.8574 5.3992 10.2238
Ho 1.2858 4.3023 2.9653
Ho 3.8574 8.8153 9.6373
Ho 3.8574 2.4736 1.6746
Ho 1.2858 10.6440 10.9281
Ho 1.2858 10.8611 3.3360
Ho 3.8574 9.0324 4.6268
Tm 1.2858 7.2385 11.7023
Tm 1.2858 10.1880 6.9889
Tm 3.8574 2.9297 5.6138
Tm 3.8574 5.8791 0.9003
Tm 3.8574 12.4379 5.4010
Tm 1.2858 6.8447 5.4513
Tm 3.8574 6.2729 7.1514
Tm 1.2858 0.2859 0.8500
Tm 3.8574 9.4885 0.6876
Tm 3.8574 12.8317 11.7526
Tm 1.2858 0.6797 7.2017
Tm 1.2858 3.6292 11.9151
```

Output
V ... 30.4 A^3/atom
Energy relative to the elements ... -3 meV/atom
D(E_F) ... 44.54 states/eV per cell
Energy relative to the lowest polymorph listed for this composition ... 0.71 eV per formula unit


no.,energy (eV per atom),size of the total moment (μB/cell)
1,-8.793,5.38
2,-10.243,21.46
3,-5.788,0.22
4,-7.869,10.75
5,-5.885,1.28
6,-4.544,0.00
7,-3.620,0.00
8,-4.273,0.00